A plane-wave DFT calculation with PBE was carried out for crystalline Ba2TlFe at its relaxed geometry.

Summary:
Crystal system: orthorhombic
Symmetry: No. 38
Calculated formation energy, eV per atom: 0.1993
DOS at the Fermi energy, states/eV/f.u.: 5.389

a = 4.875 Å, b = 6.598 Å, c = 6.598 Å
α = 46.51°, β = 90.00°, γ = 90.00°
Fractional positions:
Ba 0.000 0.000 0.000
Ba 0.500 0.289 0.289
Tl 0.500 0.592 0.592
Fe 0.000 0.685 0.685